(1)
VASP calculation (meta-GGA SCAN) on AsPbN2 at its PBEsol-relaxed geometry.

## Properties
Symmetry: No. 225

abc: 4.209 4.209 4.209
angles: 60.00 60.00 60.00
Fractional positions:
Pb (0.500, 0.500, 0.500)
As (0.000, 0.000, 0.000)
N (0.250, 0.250, 0.250)
N (0.750, 0.750, 0.750)

---

(2)
VASP calculation (meta-GGA SCAN) on YAsPb2N at its PBEsol-relaxed geometry.

## Properties
Symmetry: No. 123

abc: 5.300 5.881 5.881
angles: 90.00 90.00 90.00
Last column: magnetic moment on the atom in μB.
Fractional positions:
Pb (0.000, 0.000, 0.500)  -0.03
Pb (0.000, 0.500, 0.000)  -0.03
Y (0.000, 0.000, 0.000)  0.02
As (0.500, 0.000, 0.000)  0.12
N (0.500, 0.500, 0.500)  1.86

---

(3)
VASP calculation (meta-GGA SCAN) on Te2AsPdN at its PBEsol-relaxed geometry.

## Properties
Symmetry: No. 123

abc: 3.648 5.396 5.396
angles: 90.00 90.00 90.00
Fractional positions:
As (0.500, 0.500, 0.500)
Te (0.000, 0.000, 0.500)
Te (0.000, 0.500, 0.000)
Pd (0.000, 0.000, 0.000)
N (0.500, 0.000, 0.000)

---

(4)
VASP calculation (meta-GGA SCAN) on AsPt3N at its PBEsol-relaxed geometry.

## Properties
Symmetry: No. 221

abc: 4.175 4.175 4.175
angles: 90.00 90.00 90.00
Fractional positions:
As (0.500, 0.500, 0.500)
Pt (0.000, 0.500, 0.000)
Pt (0.000, 0.000, 0.500)
Pt (0.500, 0.000, 0.000)
N (0.000, 0.000, 0.000)

---

(5)
VASP calculation (meta-GGA SCAN) on AsPtN3 at its PBEsol-relaxed geometry.

## Properties
Symmetry: No. 221

abc: 3.879 3.879 3.879
angles: 90.00 90.00 90.00
Last column: magnetic moment on the atom in μB.
Fractional positions:
As (0.500, 0.500, 0.500)  -0.21
Pt (0.000, 0.000, 0.000)  0.26
N (0.000, 0.500, 0.000)  0.54
N (0.000, 0.000, 0.500)  0.54
N (0.500, 0.000, 0.000)  0.54

---

(6)
VASP calculation (meta-GGA SCAN) on AsRuPtN2 at its PBEsol-relaxed geometry.

## Properties
Symmetry: No. 123

abc: 3.721 3.721 4.882
angles: 90.00 90.00 90.00
Last column: magnetic moment on the atom in μB.
Fractional positions:
Ru (0.500, 0.500, 0.500)  2.67
As (0.000, 0.000, 0.000)  0.01
Pt (0.000, 0.000, 0.500)  0.24
N (0.000, 0.500, 0.000)  0.19
N (0.500, 0.000, 0.000)  0.19

---

In order of appearance, formation energy (no corrections) = 1.65; 1.19; 0.73; 0.65; 1.85; 1.65 eV per atom.